1.
Entry from Alexandria via LeMat-Bulk: an optimized crystal structure of HfZrGa6 (PBE-GGA).

Geometry as CIF:
```
data_HfZrGa6
_chemical_formula_sum 'Hf1 Zr1 Ga6'
_cell_length_a 4.1138
_cell_length_b 4.1138
_cell_length_c 8.2273
_cell_angle_alpha 90.00
_cell_angle_beta 90.00
_cell_angle_gamma 90.00
_space_group_name_H-M_alt 'P 4/m m m'
_space_group_IT_number 123
_space_group_name_Hall '-P 4 2'
loop_
_atom_site_label
_atom_site_type_symbol
_atom_site_fract_x
_atom_site_fract_y
_atom_site_fract_z
Hf1 Hf 0.0000 0.0000 0.0000
Zr1 Zr 0.0000 0.0000 0.5000
Ga1 Ga 0.0000 0.5000 0.2481
Ga2 Ga 0.5000 0.5000 0.0000
Ga3 Ga 0.5000 0.5000 0.5000
```

Values from the calculation:
**Uncorrected energy**: -39.94 eV/f.u.
**Calculated formation energy**: -0.410 eV per atom

---

2.
Entry from Alexandria via LeMat-Bulk: an optimized crystal structure of Li9Pd4Au11 (PBE-GGA).

Geometry as CIF:
```
data_Li9Pd4Au11
_chemical_formula_sum 'Li18 Pd8 Au22'
_cell_length_a 14.1974
_cell_length_b 18.2498
_cell_length_c 2.8988
_cell_angle_alpha 90.00
_cell_angle_beta 90.00
_cell_angle_gamma 90.00
_space_group_name_H-M_alt 'C m m m'
_space_group_IT_number 65
_space_group_name_Hall '-C 2 2'
loop_
_atom_site_label
_atom_site_type_symbol
_atom_site_fract_x
_atom_site_fract_y
_atom_site_fract_z
Li1 Li 0.0000 0.0000 0.0000
Li2 Li 0.1023 0.4036 0.0000
Li3 Li 0.1239 0.2210 0.0000
Pd1 Pd 0.1571 0.0783 0.0000
Au1 Au 0.0000 0.1305 0.5000
Au2 Au 0.0000 0.3042 0.5000
Au3 Au 0.0000 0.5000 0.5000
Au4 Au 0.2029 0.5000 0.5000
Au5 Au 0.2200 0.3256 0.5000
```

Values from the calculation:
**Uncorrected energy**: -84.32 eV/f.u.
**Calculated formation energy**: -0.428 eV per atom

---

3.
Entry from Alexandria via LeMat-Bulk: an optimized crystal structure of TlZn2Au2 (PBE-GGA).

Geometry as CIF:
```
data_TlZn2Au2
_chemical_formula_sum 'Tl2 Zn4 Au4'
_cell_length_a 4.1941
_cell_length_b 4.1941
_cell_length_c 11.7320
_cell_angle_alpha 90.00
_cell_angle_beta 90.00
_cell_angle_gamma 90.00
_space_group_name_H-M_alt 'I 4/m m m'
_space_group_IT_number 139
_space_group_name_Hall '-I 4 2'
loop_
_atom_site_label
_atom_site_type_symbol
_atom_site_fract_x
_atom_site_fract_y
_atom_site_fract_z
Tl1 Tl 0.0000 0.0000 0.0000
Zn1 Zn 0.0000 0.0000 0.3930
Au1 Au 0.0000 0.5000 0.2500
```

Values from the calculation:
**Uncorrected energy**: -11.68 eV/f.u.
**Calculated formation energy**: -0.042 eV per atom
**E above lowest polymorph**: 67 meV per atom